No. 1
InAgW2 after structural relaxation, computed with GGA-PBE.

The structure in POSCAR format:
```
InAgW2
1.0
2.789 0.093 0.000
-0.742 2.690 0.000
0.000 0.000 9.266
In Ag W
1 1 2
direct
0.500 0.500 0.750 In
0.500 0.500 0.250 Ag
0.000 0.000 0.498 W
0.000 0.000 0.002 W
```

Summary:
Space-group type: Cmmm, No. 65
Formation enthalpy at 0 K (eV per formula unit): 2.858
Crystal system: orthorhombic


No. 2
La2PmNd3Y6 after structural relaxation, computed with GGA-PBE.

The structure in POSCAR format:
```
La2PmNd3Y6
1.0
6.315 -0.001 0.006
-3.157 5.469 0.006
-1.061 -1.838 11.728
La Y Nd Pm
2 6 3 1
direct
0.666 0.334 0.000 La
0.334 0.666 0.000 La
0.249 0.249 0.749 Y
0.916 0.584 0.749 Y
0.084 0.416 0.251 Y
0.416 0.084 0.251 Y
0.584 0.916 0.749 Y
0.751 0.751 0.251 Y
0.500 0.500 0.500 Nd
0.833 0.167 0.500 Nd
0.167 0.833 0.500 Nd
0.000 0.000 0.000 Pm
```

Summary:
Space-group type: C2/m, No. 12
Formation enthalpy at 0 K (eV per formula unit): 0.103
Crystal system: monoclinic


No. 3
OsRh3 after structural relaxation, computed with GGA-PBE.

The structure in POSCAR format:
```
OsRh3
1.0
4.381 0.000 0.000
0.000 5.473 0.000
0.000 -2.737 4.740
Rh Os
6 2
direct
0.750 0.339 0.169 Rh
0.750 0.831 0.169 Rh
0.250 0.169 0.831 Rh
0.750 0.831 0.661 Rh
0.250 0.169 0.339 Rh
0.250 0.661 0.831 Rh
0.250 0.667 0.333 Os
0.750 0.333 0.667 Os
```

Summary:
Space-group type: P6_3/mmc, No. 194
Formation enthalpy at 0 K (eV per formula unit): 0.328
Crystal system: hexagonal


No. 4
CeTm2Th after structural relaxation, computed with GGA-PBE.

The structure in POSCAR format:
```
CeTm2Th
1.0
-3.647 2.867 1.082
-1.974 -3.483 2.576
7.223 2.040 8.294
Tm Ce Th
4 2 2
direct
0.440 0.750 0.882 Tm
0.061 0.750 0.120 Tm
0.939 0.250 0.880 Tm
0.560 0.250 0.118 Tm
0.686 0.750 0.367 Ce
0.314 0.250 0.633 Ce
0.815 0.750 0.635 Th
0.185 0.250 0.365 Th
```

Summary:
Space-group type: P2_1/m, No. 11
Formation enthalpy at 0 K (eV per formula unit): 0.905
Distance to the lowest polymorph of the same formula (eV per atom): 0.184
Crystal system: monoclinic


No. 5
NaIr2Br after structural relaxation, computed with GGA-PBE.

The structure in POSCAR format:
```
NaIr2Br
1.0
3.250 -3.095 -0.741
3.037 -0.934 3.255
-0.137 -4.002 2.157
Na Ir Br
1 2 1
direct
0.000 0.000 0.000 Na
0.750 0.750 0.750 Ir
0.250 0.250 0.250 Ir
0.500 0.500 0.500 Br
```

Summary:
Formation energy from raw total energies (eV/atom): 1.239
Space-group type: Fm-3m, No. 225
Distance to the lowest polymorph of the same formula (eV per atom): 0.298
Crystal system: cubic


No. 6
PmY2Ga9 after structural relaxation, computed with GGA-PBE.

The structure in POSCAR format:
```
PmY2Ga9
1.0
4.308 0.000 0.000
0.000 4.308 0.000
0.000 0.000 12.923
Pm Ga Y
1 9 2
direct
0.000 0.000 0.000 Pm
0.500 0.000 0.500 Ga
0.500 0.500 0.666 Ga
0.500 0.000 0.170 Ga
0.000 0.500 0.830 Ga
0.000 0.500 0.170 Ga
0.000 0.500 0.500 Ga
0.500 0.000 0.830 Ga
0.500 0.500 0.000 Ga
0.500 0.500 0.334 Ga
0.000 0.000 0.335 Y
0.000 0.000 0.665 Y
```

Summary:
Space-group type: P4/mmm, No. 123
Formation enthalpy at 0 K (eV per formula unit): -6.409
Crystal system: tetragonal